Entry 1:
# TiRh2IBr | the Alexandria database | PBE | relaxed
# - Fermi-level density of states: 1.83 states/eV per atom
# - Raw formation energy: 0.751 eV per atom
# - Energy: -22.1 eV for the cell shown
# - SG: P4/mmm
data_TiRh2IBr
_symmetry_space_group_name_H-M 'P 1'
_symmetry_Int_Tables_number 1
_cell_length_a 4.749
_cell_length_b 4.749
_cell_length_c 4.744
_cell_angle_alpha 90.00
_cell_angle_beta 90.00
_cell_angle_gamma 90.00
loop_
_symmetry_equiv_pos_as_xyz
'x,y,z'
loop_
_atom_site_label
_atom_site_type_symbol
_atom_site_fract_x
_atom_site_fract_y
_atom_site_fract_z
_atom_site_occupancy
Ti1 Ti 0.000 0.000 0.000 1
Rh1 Rh 0.000 0.500 0.500 1
Rh2 Rh 0.500 0.000 0.500 1
I1 I 0.500 0.500 0.000 1
Br1 Br 0.000 0.000 0.500 1

***

Entry 2:
# Y2RhIBr | the Alexandria database | PBE | relaxed
# - Fermi-level density of states: 1.47 states/eV per atom
# - Raw formation energy: 0.143 eV per atom
# - Energy: -22.8 eV for the cell shown
# - SG: P4/mmm
data_Y2RhIBr
_symmetry_space_group_name_H-M 'P 1'
_symmetry_Int_Tables_number 1
_cell_length_a 5.714
_cell_length_b 5.714
_cell_length_c 4.809
_cell_angle_alpha 90.00
_cell_angle_beta 90.00
_cell_angle_gamma 90.00
loop_
_symmetry_equiv_pos_as_xyz
'x,y,z'
loop_
_atom_site_label
_atom_site_type_symbol
_atom_site_fract_x
_atom_site_fract_y
_atom_site_fract_z
_atom_site_occupancy
Y1 Y 0.000 0.500 0.000 1
Y2 Y 0.500 0.000 0.000 1
Rh1 Rh 0.000 0.000 0.500 1
I1 I 0.000 0.000 0.000 1
Br1 Br 0.500 0.500 0.500 1

***

Entry 3:
# ZrRh2IBr | the Alexandria database | PBE | relaxed
# - Fermi-level density of states: 2.01 states/eV per atom
# - Raw formation energy: 0.674 eV per atom
# - Energy: -23.1 eV for the cell shown
# - SG: P4/mmm
data_ZrRh2IBr
_symmetry_space_group_name_H-M 'P 1'
_symmetry_Int_Tables_number 1
_cell_length_a 4.715
_cell_length_b 4.715
_cell_length_c 5.087
_cell_angle_alpha 90.00
_cell_angle_beta 90.00
_cell_angle_gamma 90.00
loop_
_symmetry_equiv_pos_as_xyz
'x,y,z'
loop_
_atom_site_label
_atom_site_type_symbol
_atom_site_fract_x
_atom_site_fract_y
_atom_site_fract_z
_atom_site_occupancy
Zr1 Zr 0.000 0.000 0.000 1
Rh1 Rh 0.000 0.500 0.500 1
Rh2 Rh 0.500 0.000 0.500 1
I1 I 0.500 0.500 0.000 1
Br1 Br 0.000 0.000 0.500 1

***

Entry 4:
# Ru2IBr8 | the Alexandria database | PBE | relaxed
# - Fermi-level density of states: 0.74 states/eV per atom
# - Raw formation energy: 0.007 eV per atom
# - Energy: -33.4 eV for the cell shown
# - SG: P-1
data_Ru2IBr8
_symmetry_space_group_name_H-M 'P 1'
_symmetry_Int_Tables_number 1
_cell_length_a 4.990
_cell_length_b 9.587
_cell_length_c 9.601
_cell_angle_alpha 60.30
_cell_angle_beta 88.70
_cell_angle_gamma 88.84
loop_
_symmetry_equiv_pos_as_xyz
'x,y,z'
loop_
_atom_site_label
_atom_site_type_symbol
_atom_site_fract_x
_atom_site_fract_y
_atom_site_fract_z
_atom_site_occupancy
Ru1 Ru 0.233 0.169 0.166 1
Ru2 Ru 0.767 0.831 0.834 1
I1 I 0.000 0.500 0.500 1
Br1 Br 0.208 0.316 0.313 1
Br2 Br 0.230 0.887 0.301 1
Br3 Br 0.231 0.300 0.885 1
Br4 Br 0.280 0.799 0.805 1
Br5 Br 0.720 0.201 0.195 1
Br6 Br 0.769 0.700 0.115 1
Br7 Br 0.770 0.113 0.699 1
Br8 Br 0.792 0.684 0.687 1

***

Entry 5:
# Ru2I2Br7 | the Alexandria database | PBE | relaxed
# - Fermi-level density of states: 0.68 states/eV per atom
# - Raw formation energy: -0.033 eV per atom
# - Energy: -33.7 eV for the cell shown
# - SG: C2/m
data_Ru2I2Br7
_symmetry_space_group_name_H-M 'P 1'
_symmetry_Int_Tables_number 1
_cell_length_a 6.842
_cell_length_b 6.842
_cell_length_c 9.700
_cell_angle_alpha 93.87
_cell_angle_beta 93.87
_cell_angle_gamma 68.25
loop_
_symmetry_equiv_pos_as_xyz
'x,y,z'
loop_
_atom_site_label
_atom_site_type_symbol
_atom_site_fract_x
_atom_site_fract_y
_atom_site_fract_z
_atom_site_occupancy
Ru1 Ru 0.237 0.237 0.013 1
Ru2 Ru 0.763 0.763 0.987 1
I1 I 0.175 0.825 0.500 1
I2 I 0.825 0.175 0.500 1
Br1 Br 0.000 0.000 0.000 1
Br2 Br 0.064 0.510 0.840 1
Br3 Br 0.431 0.431 0.131 1
Br4 Br 0.490 0.936 0.160 1
Br5 Br 0.510 0.064 0.840 1
Br6 Br 0.569 0.569 0.869 1
Br7 Br 0.936 0.490 0.160 1

***

Entry 6:
# Ru3IBr | the Alexandria database | PBE | relaxed
# - Fermi-level density of states: 0.91 states/eV per atom
# - Raw formation energy: 1.839 eV per atom
# - Energy: -21.9 eV for the cell shown
# - SG: Pm-3m
data_Ru3IBr
_symmetry_space_group_name_H-M 'P 1'
_symmetry_Int_Tables_number 1
_cell_length_a 4.949
_cell_length_b 4.949
_cell_length_c 4.949
_cell_angle_alpha 90.00
_cell_angle_beta 90.00
_cell_angle_gamma 90.00
loop_
_symmetry_equiv_pos_as_xyz
'x,y,z'
loop_
_atom_site_label
_atom_site_type_symbol
_atom_site_fract_x
_atom_site_fract_y
_atom_site_fract_z
_atom_site_occupancy
Ru1 Ru 0.000 0.000 0.500 1
Ru2 Ru 0.000 0.500 0.000 1
Ru3 Ru 0.500 0.000 0.000 1
I1 I 0.000 0.000 0.000 1
Br1 Br 0.500 0.500 0.500 1

***

Record order is preserved below.
Total moment: 0.000, 0.002, 0.001, 1.017, 1.919, 4.588 μB/cell